A relaxed Mn2NiO3 crystal. Source: the Alexandria database, functional PBE with a Hubbard U.

Summary:
Polymorph energy (0 for the lowest one): 0 meV per atom
Mass density: 5.6 g/cm³
Space-group type: P-3m1 (164)

a = 3.1301 Å, b = 3.1301 Å, c = 7.6057 Å
α = 90.00°, β = 90.00°, γ = 120.00°
Closest atoms and distances in Å follow each position.
Fractional positions:
Mn  0.3333  0.6667  0.6737  6 O 2.23-2.24
Mn  0.6667  0.3333  0.3263  6 O 2.23-2.24
O  0.0000  0.0000  0.5000  6 Mn 2.24
O  0.6667  0.3333  0.8465  3 Ni 2.15, 3 Mn 2.23
O  0.3333  0.6667  0.1535  3 Ni 2.15, 3 Mn 2.23
Ni  0.0000  0.0000  0.0000  6 O 2.15